## Tl2Hg2Ge (PBE)

Data for crystalline Tl2Hg2Ge at its relaxed geometry.

Computed properties:
- Magnetization: 0.0000 μB/atom
- Energy of formation: 14.0 kJ per mole of atoms
- Calculated density: 10420 kg/m³
- Space-group type: No. 127

Cell: 7.337 7.337 5.225 Å, 90.00 90.00 90.00°
Element x y z (fractional)
Tl (0.172, 0.672, 0.500)
Tl (0.672, 0.828, 0.500)
Tl (0.828, 0.328, 0.500)
Tl (0.328, 0.172, 0.500)
Ge (0.000, 0.000, 0.000)
Ge (0.500, 0.500, 0.000)
Hg (0.355, 0.855, 0.000)
Hg (0.855, 0.645, 0.000)
Hg (0.645, 0.145, 0.000)
Hg (0.145, 0.355, 0.000)